Record 1
# LiTeRhN2

A geometry-optimized LiTeRhN2 structure (PBE-GGA, the Alexandria database).

Unit cell a=3.836 b=3.836 c=5.793 alpha=90.00 beta=90.00 gamma=90.00
Site moments in Bohr magnetons follow the coordinates.
Element x y z (fractional)
Rh 0.000 0.000 0.000  -0.01
Li 0.500 0.500 0.500  0.00
N 0.500 0.000 0.000  0.14
Te 0.000 0.000 0.500  0.01
N 0.000 0.500 0.000  0.14

Results
Symmetry: P4/mmm, No. 123
Polymorph energy (0 for the lowest one), meV/atom: 0.0

---

Record 2
# LiTe2RhN

A geometry-optimized LiTe2RhN structure (PBE-GGA, the Alexandria database).

Unit cell a=5.047 b=5.047 c=3.353 alpha=90.00 beta=90.00 gamma=90.00
Element x y z (fractional)
Te 0.500 0.000 0.000
Li 0.000 0.000 0.000
N 0.000 0.000 0.500
Rh 0.500 0.500 0.500
Te 0.000 0.500 0.000

Results
Symmetry: P4/mmm, No. 123
Polymorph energy (0 for the lowest one), meV/atom: 747.2

---

Record 3
# LiTlRh2N

A geometry-optimized LiTlRh2N structure (PBE-GGA, the Alexandria database).

Unit cell a=4.104 b=4.104 c=4.162 alpha=90.00 beta=90.00 gamma=90.00
Element x y z (fractional)
Rh 0.000 0.500 0.000
Rh 0.500 0.000 0.000
N 0.000 0.000 0.000
Tl 0.500 0.500 0.500
Li 0.000 0.000 0.500

Results
Symmetry: P4/mmm, No. 123

---

For the records above, the corresponding DOS at the Fermi energy values read 3.17; 3.01; 4.81 states/eV/f.u..
For the records above, the corresponding energy relative to the elements, uncorrected values read 3.56; 4.14; -0.32 eV per formula unit.
For the records above, the corresponding size of the total moment values read 0.369; 0.001; 0.000 μB/cell.